## TbFeGe2O7 (GGA+U)

Data for a relaxed TbFeGe2O7 crystal.

DOS at the Fermi energy	0.000	states/eV/atom
VASP energy	-0.516	Ry per atom

a = 10.8735 Å, b = 8.6539 Å, c = 6.7693 Å
α = 90.00°, β = 117.45°, γ = 90.00°
Space group C2/m (No. 12)
One atom of each set of equivalent atoms:
Tb (0.0000, 0.2100, 0.0000)
Fe (0.0000, 0.3043, 0.5000)
Ge (0.1986, 0.5000, 0.9260)
Ge (0.2196, 0.0000, 0.5169)
O (0.1114, 0.1644, 0.4037)
O (0.1112, 0.3224, 0.8284)
O (0.1308, 0.0000, 0.0321)
O (0.1330, 0.5000, 0.5359)
O (0.1834, 0.5000, 0.1846)